# 1
Density functional theory data (PBE) for TmFe2Os after structural relaxation.

Output
Fermi-level density of states: 10.4 states/eV/cell
calculated formation energy: 0.672 eV/atom

```
data_TmFe2Os
_chemical_formula_sum 'Tm2 Fe4 Os2'
_cell_length_a 5.306
_cell_length_b 6.756
_cell_length_c 3.868
_cell_angle_alpha 90.00
_cell_angle_beta 90.00
_cell_angle_gamma 90.00
_symmetry_space_group_name_H-M 'C m m m'
_symmetry_Int_Tables_number 65
_symmetry_space_group_name_Hall '-C 2 2'
loop_
_atom_site_label
_atom_site_type_symbol
_atom_site_fract_x
_atom_site_fract_y
_atom_site_fract_z
_atom_site_occupancy
Tm1 Tm 0.000 0.000 0.000 1
Fe1 Fe 0.000 0.310 0.500 1
Os1 Os 0.000 0.500 0.000 1
```


# 2
Density functional theory data (PBE) for Tm2Fe3Os after structural relaxation.

Output
Fermi-level density of states: 9.4 states/eV/cell
calculated formation energy: -0.230 eV/atom

```
data_Tm2Fe3Os
_chemical_formula_sum 'Tm4 Fe6 Os2'
_cell_length_a 8.868
_cell_length_b 5.111
_cell_length_c 5.182
_cell_angle_alpha 90.00
_cell_angle_beta 124.75
_cell_angle_gamma 90.00
_symmetry_space_group_name_H-M 'C 1 2/m 1'
_symmetry_Int_Tables_number 12
_symmetry_space_group_name_Hall '-C 2y'
loop_
_atom_site_label
_atom_site_type_symbol
_atom_site_fract_x
_atom_site_fract_y
_atom_site_fract_z
_atom_site_occupancy
Tm1 Tm 0.125 0.000 0.375 1
Fe1 Fe 0.000 0.500 0.000 1
Fe2 Fe 0.250 0.250 0.000 1
Os1 Os 0.000 0.500 0.500 1
```


# 3
Density functional theory data (PBE) for Tm2FeOs after structural relaxation.

Output
Fermi-level density of states: 8.8 states/eV/cell
calculated formation energy: 0.561 eV/atom

```
data_Tm2FeOs
_chemical_formula_sum 'Tm6 Fe3 Os3'
_cell_length_a 3.1903
_cell_length_b 3.1903
_cell_length_c 28.7077
_cell_angle_alpha 90.00
_cell_angle_beta 90.00
_cell_angle_gamma 120.00
_symmetry_space_group_name_H-M 'R -3 m'
_symmetry_Int_Tables_number 166
_symmetry_space_group_name_Hall '-R 3 2"'
loop_
_atom_site_label
_atom_site_type_symbol
_atom_site_fract_x
_atom_site_fract_y
_atom_site_fract_z
_atom_site_occupancy
Tm1 Tm 0.0000 0.0000 0.0932 1
Fe1 Fe 0.0000 0.0000 0.0000 1
Os1 Os 0.0000 0.0000 0.5000 1
```


# 4
Density functional theory data (PBE) for TmZrFeOs after structural relaxation.

Output
Fermi-level density of states: 11.9 states/eV/cell
calculated formation energy: -0.204 eV/atom

```
data_TmZrFeOs
_chemical_formula_sum 'Tm4 Zr4 Fe4 Os4'
_cell_length_a 6.557
_cell_length_b 6.557
_cell_length_c 6.557
_cell_angle_alpha 90.00
_cell_angle_beta 90.00
_cell_angle_gamma 90.00
_symmetry_space_group_name_H-M 'F -4 3 m'
_symmetry_Int_Tables_number 216
_symmetry_space_group_name_Hall 'F -4 2 3'
loop_
_atom_site_label
_atom_site_type_symbol
_atom_site_fract_x
_atom_site_fract_y
_atom_site_fract_z
_atom_site_occupancy
Tm1 Tm 0.000 0.000 0.000 1
Zr1 Zr 0.000 0.000 0.500 1
Fe1 Fe 0.250 0.250 0.750 1
Os1 Os 0.250 0.250 0.250 1
```


# 5
Density functional theory data (PBE) for U4FeOs after structural relaxation.

Output
Fermi-level density of states: 48.8 states/eV/cell
calculated formation energy: 0.085 eV/atom

```
data_U4FeOs
_chemical_formula_sum 'U16 Fe4 Os4'
_cell_length_a 14.953
_cell_length_b 5.531
_cell_length_c 5.676
_cell_angle_alpha 90.00
_cell_angle_beta 103.79
_cell_angle_gamma 90.00
_symmetry_space_group_name_H-M 'C 1 2/c 1'
_symmetry_Int_Tables_number 15
_symmetry_space_group_name_Hall '-C 2yc'
loop_
_atom_site_label
_atom_site_type_symbol
_atom_site_fract_x
_atom_site_fract_y
_atom_site_fract_z
_atom_site_occupancy
U1 U 0.078 0.098 0.490 1
U2 U 0.168 0.311 0.066 1
Fe1 Fe 0.250 0.250 0.500 1
Os1 Os 0.000 0.439 0.750 1
```


# 6
Density functional theory data (PBE) for UFe4Os after structural relaxation.

Output
Fermi-level density of states: 43.5 states/eV/cell
calculated formation energy: 0.092 eV/atom

```
data_UFe4Os
_chemical_formula_sum 'U4 Fe16 Os4'
_cell_length_a 6.900
_cell_length_b 6.900
_cell_length_c 6.900
_cell_angle_alpha 90.00
_cell_angle_beta 90.00
_cell_angle_gamma 90.00
_symmetry_space_group_name_H-M 'F -4 3 m'
_symmetry_Int_Tables_number 216
_symmetry_space_group_name_Hall 'F -4 2 3'
loop_
_atom_site_label
_atom_site_type_symbol
_atom_site_fract_x
_atom_site_fract_y
_atom_site_fract_z
_atom_site_occupancy
U1 U 0.000 0.000 0.000 1
Fe1 Fe 0.124 0.124 0.376 1
Os1 Os 0.250 0.250 0.750 1
```


# 7
Density functional theory data (PBE) for U6FeOs2 after structural relaxation.

Output
Fermi-level density of states: 18.9 states/eV/cell
calculated formation energy: 0.190 eV/atom

```
data_U6FeOs2
_chemical_formula_sum 'U6 Fe1 Os2'
_cell_length_a 6.0829
_cell_length_b 6.0829
_cell_length_c 5.3296
_cell_angle_alpha 90.00
_cell_angle_beta 90.00
_cell_angle_gamma 120.00
_symmetry_space_group_name_H-M 'P -3 m 1'
_symmetry_Int_Tables_number 164
_symmetry_space_group_name_Hall '-P 3 2"'
loop_
_atom_site_label
_atom_site_type_symbol
_atom_site_fract_x
_atom_site_fract_y
_atom_site_fract_z
_atom_site_occupancy
U1 U 0.1842 0.3685 0.2033 1
Fe1 Fe 0.0000 0.0000 0.5000 1
Os1 Os 0.3333 0.6667 0.6910 1
```


# 8
Density functional theory data (PBE) for UZnFeOs after structural relaxation.

Output
Fermi-level density of states: 25.8 states/eV/cell
calculated formation energy: 0.103 eV/atom

```
data_UZnFeOs
_chemical_formula_sum 'U4 Zn4 Fe4 Os4'
_cell_length_a 6.368
_cell_length_b 6.368
_cell_length_c 6.368
_cell_angle_alpha 90.00
_cell_angle_beta 90.00
_cell_angle_gamma 90.00
_symmetry_space_group_name_H-M 'F -4 3 m'
_symmetry_Int_Tables_number 216
_symmetry_space_group_name_Hall 'F -4 2 3'
loop_
_atom_site_label
_atom_site_type_symbol
_atom_site_fract_x
_atom_site_fract_y
_atom_site_fract_z
_atom_site_occupancy
U1 U 0.000 0.000 0.000 1
Zn1 Zn 0.000 0.000 0.500 1
Fe1 Fe 0.250 0.250 0.250 1
Os1 Os 0.250 0.250 0.750 1
```


# 9
Density functional theory data (PBE) for ZrUFeOs after structural relaxation.

Output
Fermi-level density of states: 26.2 states/eV/cell
calculated formation energy: -0.028 eV/atom

```
data_ZrUFeOs
_chemical_formula_sum 'Zr4 U4 Fe4 Os4'
_cell_length_a 6.587
_cell_length_b 6.587
_cell_length_c 6.587
_cell_angle_alpha 90.00
_cell_angle_beta 90.00
_cell_angle_gamma 90.00
_symmetry_space_group_name_H-M 'F -4 3 m'
_symmetry_Int_Tables_number 216
_symmetry_space_group_name_Hall 'F -4 2 3'
loop_
_atom_site_label
_atom_site_type_symbol
_atom_site_fract_x
_atom_site_fract_y
_atom_site_fract_z
_atom_site_occupancy
Zr1 Zr 0.000 0.000 0.000 1
U1 U 0.000 0.000 0.500 1
Fe1 Fe 0.250 0.250 0.750 1
Os1 Os 0.250 0.250 0.250 1
```


# 10
Density functional theory data (PBE) for V4FeOs2 after structural relaxation.

Output
Fermi-level density of states: 20.9 states/eV/cell
calculated formation energy: 0.730 eV/atom

```
data_V4FeOs2
_chemical_formula_sum 'V8 Fe2 Os4'
_cell_length_a 4.192
_cell_length_b 4.192
_cell_length_c 12.382
_cell_angle_alpha 90.00
_cell_angle_beta 90.00
_cell_angle_gamma 90.00
_symmetry_space_group_name_H-M 'I 4/m m m'
_symmetry_Int_Tables_number 139
_symmetry_space_group_name_Hall '-I 4 2'
loop_
_atom_site_label
_atom_site_type_symbol
_atom_site_fract_x
_atom_site_fract_y
_atom_site_fract_z
_atom_site_occupancy
V1 V 0.000 0.000 0.187 1
V2 V 0.000 0.500 0.000 1
Fe1 Fe 0.000 0.000 0.000 1
Os1 Os 0.000 0.000 0.375 1
```


# 11
Density functional theory data (PBE) for V4Fe2Os after structural relaxation.

Output
Fermi-level density of states: 20.6 states/eV/cell
calculated formation energy: 1.048 eV/atom

```
data_V4Fe2Os
_chemical_formula_sum 'V8 Fe4 Os2'
_cell_length_a 4.557
_cell_length_b 4.557
_cell_length_c 11.795
_cell_angle_alpha 90.00
_cell_angle_beta 90.00
_cell_angle_gamma 90.00
_symmetry_space_group_name_H-M 'I 4/m m m'
_symmetry_Int_Tables_number 139
_symmetry_space_group_name_Hall '-I 4 2'
loop_
_atom_site_label
_atom_site_type_symbol
_atom_site_fract_x
_atom_site_fract_y
_atom_site_fract_z
_atom_site_occupancy
V1 V 0.000 0.000 0.207 1
V2 V 0.000 0.500 0.000 1
Fe1 Fe 0.000 0.000 0.395 1
Os1 Os 0.000 0.000 0.000 1
```


# 12
Density functional theory data (PBE) for VFe3Os after structural relaxation.

Output
Fermi-level density of states: 12.6 states/eV/cell
polymorph energy (0 for the lowest one): 1.458 eV/f.u.
calculated formation energy: 1.632 eV/atom

```
data_VFe3Os
_chemical_formula_sum 'V1 Fe3 Os1'
_cell_length_a 4.455
_cell_length_b 4.455
_cell_length_c 4.455
_cell_angle_alpha 90.00
_cell_angle_beta 90.00
_cell_angle_gamma 90.00
_symmetry_space_group_name_H-M 'P m -3 m'
_symmetry_Int_Tables_number 221
_symmetry_space_group_name_Hall '-P 4 2 3'
loop_
_atom_site_label
_atom_site_type_symbol
_atom_site_fract_x
_atom_site_fract_y
_atom_site_fract_z
_atom_site_occupancy
V1 V 0.000 0.000 0.000 1
Fe1 Fe 0.000 0.500 0.500 1
Os1 Os 0.500 0.500 0.500 1
```